# 1
This record from Alexandria via LeMat-Bulk describes Ru2SeS3 after structural relaxation. The functional is PBEsol.

Properties
ΔE_f (raw) (eV/atom): -0.614
Calculated density (g/cm3): 6.9
Symmetry: P2_1 (4)
Uncorrected energy (eV/atom): -6.8384

Unit cell a=5.6625 b=5.6624 c=5.6652 alpha=90.00 beta=90.92 gamma=90.00
Atoms (fractional coordinates):
1 Ru 0.9999 0.0000 0.2396
2 Ru 0.0001 0.5000 0.7604
3 Ru 0.4912 0.0092 0.7511
4 Ru 0.5088 0.5092 0.2489
5 Se 0.1194 0.3880 0.3686
6 Se 0.8806 0.8880 0.6314
7 S 0.1172 0.1227 0.8698
8 S 0.3855 0.6216 0.8659
9 S 0.3861 0.8917 0.3607
10 S 0.6139 0.3917 0.6393
11 S 0.6145 0.1216 0.1341
12 S 0.8828 0.6227 0.1302

---

# 2
This record from Alexandria via LeMat-Bulk describes SiRu3S after structural relaxation. The functional is PBEsol.

Properties
ΔE_f (raw) (eV/atom): 0.642
Calculated density (g/cm3): 7.8
Symmetry: Pm-3m (221)
Uncorrected energy (eV/atom): -7.4875

Unit cell a=4.2518 b=4.2518 c=4.2518 alpha=90.00 beta=90.00 gamma=90.00
Atoms (fractional coordinates):
1 Si 0.0000 0.0000 0.0000
2 Ru 0.0000 0.5000 0.5000
3 Ru 0.5000 0.0000 0.5000
4 Ru 0.5000 0.5000 0.0000
5 S 0.5000 0.5000 0.5000

---

# 3
This record from Alexandria via LeMat-Bulk describes Sn3RuS after structural relaxation. The functional is PBEsol.

Properties
ΔE_f (raw) (eV/atom): -0.033
Calculated density (g/cm3): 6.5
Symmetry: Pm-3m (221)
Uncorrected energy (eV/atom): -5.5001

Unit cell a=4.9944 b=4.9944 c=4.9944 alpha=90.00 beta=90.00 gamma=90.00
Atoms (fractional coordinates):
1 Sn 0.0000 0.0000 0.5000
2 Sn 0.0000 0.5000 0.0000
3 Sn 0.5000 0.0000 0.0000
4 Ru 0.0000 0.0000 0.0000
5 S 0.5000 0.5000 0.5000